# 1
{"formula": "Er3Zn4Sn2", "functional": "PBE", "state": "relaxed", "dft_energy_ev_per_atom": -3.47, "cell": [[-1.741, 4.165, 0.155], [-3.650, -4.057, 2.184], [5.837, 2.222, 5.879]], "species": ["Zn", "Sn", "Sn", "Zn", "Zn", "Er", "Er", "Zn", "Er"], "fractional_positions": [[0.019, 0.038, 0.365], [0.616, 0.231, 0.279], [0.384, 0.769, 0.721], [0.749, 0.499, 0.066], [0.251, 0.501, 0.934], [0.668, 0.335, 0.668], [0.332, 0.665, 0.332], [0.981, 0.962, 0.635], [0.000, 0.000, 0.000]]}

# 2
{"formula": "TbDy6Ho12", "functional": "PBE", "state": "relaxed", "polymorph_energy_mev_per_atom": 293, "cell": [[-9.150, 1.108, -1.213], [1.527, -8.605, 3.169], [2.869, 6.059, 6.440]], "species": ["Ho", "Dy", "Ho", "Ho", "Dy", "Ho", "Ho", "Ho", "Dy", "Dy", "Ho", "Ho", "Ho", "Dy", "Dy", "Ho", "Ho", "Tb", "Ho"], "fractional_positions": [[0.636, 0.849, 0.636], [0.679, 0.253, 0.679], [0.849, 0.636, 0.636], [0.109, 0.500, 0.891], [0.747, 0.321, 0.321], [0.500, 0.109, 0.891], [0.636, 0.636, 0.849], [0.891, 0.500, 0.109], [0.321, 0.321, 0.747], [0.253, 0.679, 0.679], [0.109, 0.891, 0.500], [0.364, 0.364, 0.151], [0.364, 0.151, 0.364], [0.679, 0.679, 0.253], [0.321, 0.747, 0.321], [0.151, 0.364, 0.364], [0.500, 0.891, 0.109], [0.000, 0.000, 0.000], [0.891, 0.109, 0.500]]}

# 3
{"formula": "BaLiCa2Ni", "functional": "PBE", "state": "relaxed", "polymorph_energy_mev_per_atom": 0, "cell": [[-3.020, 4.670, 0.407], [-1.098, -0.235, -5.463], [-4.880, -3.254, 1.121]], "species": ["Ba", "Ca", "Ca", "Li", "Ni"], "fractional_positions": [[0.000, 0.000, 0.500], [0.500, 0.000, 0.000], [0.000, 0.500, 0.000], [0.500, 0.500, 0.500], [0.000, 0.000, 0.000]]}

# 4
{"formula": "DyY5Ho12", "functional": "PBE", "state": "relaxed", "dft_energy_ev_per_atom": -5.08, "cell": [[15.004, -0.006, -0.007], [7.499, 7.513, -0.003], [0.002, 0.000, 4.999]], "species": ["Ho", "Dy", "Ho", "Y", "Ho", "Y", "Ho", "Y", "Y", "Ho", "Ho", "Y", "Ho", "Ho", "Ho", "Ho", "Ho", "Ho"], "fractional_positions": [[0.501, 0.333, 0.500], [0.000, 0.000, 0.000], [0.833, 0.000, 0.500], [0.333, 0.333, 0.000], [0.999, 0.667, 0.000], [0.500, 0.000, 0.500], [0.332, 0.000, 0.000], [0.834, 0.332, 0.500], [0.166, 0.668, 0.500], [0.499, 0.667, 0.500], [0.666, 0.333, 0.000], [0.667, 0.667, 0.000], [0.001, 0.333, 0.000], [0.167, 0.000, 0.500], [0.668, 0.000, 0.000], [0.334, 0.667, 0.000], [0.834, 0.667, 0.500], [0.166, 0.333, 0.500]]}

# 5
{"formula": "NiGeHRu2", "functional": "PBE", "state": "relaxed", "dft_energy_ev_per_atom": -6.50, "cell": [[-0.071, -3.032, -2.726], [-0.649, -2.683, 3.001], [-3.282, 0.396, -0.356]], "species": ["Ru", "Ge", "H", "Ni", "Ru"], "fractional_positions": [[0.000, 0.500, 0.000], [0.500, 0.500, 0.500], [0.000, 0.000, 0.000], [0.000, 0.000, 0.500], [0.500, 0.000, 0.000]]}

# 6
{"formula": "SmDyY3Tm", "functional": "PBE", "state": "relaxed", "dft_energy_ev_per_atom": -5.51, "cell": [[5.033, 0.000, 0.000], [-2.516, 7.560, 0.000], [0.000, 0.000, 10.079]], "species": ["Sm", "Tm", "Dy", "Y", "Dy", "Sm", "Y", "Y", "Tm", "Y", "Y", "Y"], "fractional_positions": [[0.499, 0.998, 0.750], [0.166, 0.333, 0.250], [0.000, 0.000, 0.000], [0.833, 0.665, 0.250], [0.000, 0.000, 0.500], [0.501, 0.002, 0.250], [0.666, 0.333, 0.000], [0.666, 0.333, 0.500], [0.834, 0.667, 0.750], [0.334, 0.667, 0.000], [0.334, 0.667, 0.500], [0.167, 0.335, 0.750]]}

# 7
{"formula": "Ti2Rh", "functional": "PBE", "state": "relaxed", "dft_energy_ev_per_atom": -8.19, "cell": [[5.127, 0.620, 0.462], [2.847, 4.309, 0.462], [2.528, 1.563, 4.855]], "species": ["Rh", "Ti", "Ti", "Rh", "Ti", "Ti"], "fractional_positions": [[0.000, 0.000, 0.750], [0.666, 0.667, 0.237], [0.334, 0.333, 0.763], [0.000, 0.000, 0.250], [0.333, 0.334, 0.263], [0.667, 0.666, 0.737]]}

# 8
{"formula": "TaAlGe3", "functional": "PBE", "state": "relaxed", "polymorph_energy_mev_per_atom": 642, "cell": [[-3.198, 2.837, 2.039], [-1.213, -3.494, 2.959], [3.276, 1.476, 3.086]], "species": ["Ge", "Al", "Ge", "Ta", "Ge"], "fractional_positions": [[0.500, 0.000, 0.000], [0.000, 0.000, 0.000], [0.000, 0.000, 0.500], [0.500, 0.500, 0.500], [0.000, 0.500, 0.000]]}

# 9
{"formula": "HfCrBi2", "functional": "PBE", "state": "relaxed", "polymorph_energy_mev_per_atom": 161, "cell": [[6.565, 0.000, 0.000], [0.000, 6.565, 0.000], [3.282, 3.282, 6.569]], "species": ["Cr", "Bi", "Cr", "Hf", "Bi", "Bi", "Bi", "Hf"], "fractional_positions": [[0.250, 0.750, 0.500], [0.135, 0.625, 0.250], [0.500, 0.500, 0.000], [0.750, 0.250, 0.500], [0.875, 0.865, 0.750], [0.615, 0.125, 0.250], [0.375, 0.385, 0.750], [0.000, 0.000, 0.000]]}

# 10
{"formula": "GdLuAlIn", "functional": "PBE", "state": "relaxed", "dft_energy_ev_per_atom": -6.66, "cell": [[-3.468, -3.795, -0.717], [-0.799, -1.922, -4.755], [1.606, -4.797, -1.164]], "species": ["Lu", "Gd", "In", "Al"], "fractional_positions": [[0.000, 0.000, 0.000], [0.500, 0.500, 0.500], [0.250, 0.250, 0.250], [0.750, 0.750, 0.750]]}

# 11
{"formula": "BaGaNiAg2", "functional": "PBE", "state": "relaxed", "dft_energy_ev_per_atom": -3.41, "cell": [[-3.253, 3.303, -2.229], [0.472, -2.538, -4.450], [-3.519, -2.684, 1.158]], "species": ["Ag", "Ba", "Ga", "Ag", "Ni"], "fractional_positions": [[0.000, 0.500, 0.000], [0.500, 0.500, 0.500], [0.000, 0.000, 0.500], [0.500, 0.000, 0.000], [0.000, 0.000, 0.000]]}

# 12
{"formula": "RbLiNi2Ir", "functional": "PBE", "state": "relaxed", "dft_energy_ev_per_atom": -2.42, "cell": [[4.709, 0.000, 0.000], [0.000, 5.006, 0.000], [0.000, 0.000, 4.709]], "species": ["Ir", "Rb", "Ni", "Li", "Ni"], "fractional_positions": [[0.000, 0.500, 0.000], [0.000, 0.000, 0.000], [0.500, 0.000, 0.000], [0.500, 0.500, 0.500], [0.000, 0.000, 0.500]]}

# 13
{"formula": "BC5", "functional": "PBE", "state": "relaxed", "polymorph_energy_mev_per_atom": 80, "cell": [[-2.676, 0.108, -5.101], [-0.153, -2.447, 5.214], [-2.144, 2.649, 1.181]], "species": ["C", "B", "C", "C", "C", "B", "C", "C", "C", "C", "C", "C"], "fractional_positions": [[0.833, 0.167, 0.500], [0.332, 0.668, 0.000], [0.500, 0.500, 0.500], [0.162, 0.324, 0.257], [0.667, 0.333, 0.000], [0.168, 0.832, 0.500], [0.676, 0.838, 0.743], [0.983, 0.483, 0.750], [0.338, 0.176, 0.757], [0.517, 0.017, 0.250], [0.824, 0.662, 0.243], [0.000, 0.000, 0.000]]}

# 14
{"formula": "Tb8Al2Tl", "functional": "PBE", "state": "relaxed", "polymorph_energy_mev_per_atom": 0, "cell": [[5.243, 0.000, 0.000], [0.000, 8.449, -0.302], [-2.621, -3.781, 7.162]], "species": ["Tb", "Tb", "Al", "Tb", "Tb", "Al", "Tb", "Tl", "Tb", "Tb", "Tb"], "fractional_positions": [[0.855, 0.801, 0.711], [0.934, 0.282, 0.868], [0.776, 0.380, 0.552], [0.683, 0.956, 0.366], [0.317, 0.044, 0.634], [0.224, 0.620, 0.448], [0.400, 0.542, 0.799], [0.500, 0.000, 0.000], [0.145, 0.199, 0.289], [0.066, 0.718, 0.132], [0.600, 0.458, 0.201]]}

# 15
{"formula": "AuS2O6F2", "functional": "PBE", "state": "relaxed", "raw_formation_energy_ev_per_atom": -1.081, "cell": [[5.256, 0.000, 0.000], [-2.628, 4.552, 0.000], [0.000, 0.000, 7.374]], "species": ["S", "O", "F", "O", "Au", "O", "O", "S", "O", "F", "O"], "fractional_positions": [[0.333, 0.667, 0.771], [0.936, 0.332, 0.183], [0.667, 0.333, 0.445], [0.064, 0.668, 0.817], [0.000, 0.000, 0.000], [0.668, 0.604, 0.183], [0.604, 0.936, 0.817], [0.667, 0.333, 0.229], [0.332, 0.396, 0.817], [0.333, 0.667, 0.555], [0.396, 0.064, 0.183]]}

# 16
{"formula": "SiMoCl2", "functional": "PBE", "state": "relaxed", "polymorph_energy_mev_per_atom": 0, "raw_formation_energy_ev_per_atom": -0.338, "cell": [[3.132, 0.000, 0.000], [0.000, 3.699, 0.007], [0.000, 2.682, 7.715]], "species": ["Cl", "Mo", "Cl", "Si"], "fractional_positions": [[0.500, 0.402, 0.342], [0.000, 0.225, 0.585], [0.000, 0.206, 0.899], [0.500, 0.666, 0.674]]}

# 17
{"formula": "KLaRu2", "functional": "PBE", "state": "relaxed", "polymorph_energy_mev_per_atom": 104, "cell": [[3.523, 0.021, 0.000], [-0.023, 3.523, 0.000], [0.000, 0.000, 9.201]], "species": ["K", "Ru", "Ru", "La"], "fractional_positions": [[0.000, 0.000, 0.430], [0.500, 0.500, 0.142], [0.000, 0.000, 0.064], [0.500, 0.500, 0.863]]}

# 18
{"formula": "PaFe3C3", "functional": "PBE", "state": "relaxed", "dft_energy_ev_per_atom": -8.87, "cell": [[-1.577, -3.122, -0.574], [1.153, -1.809, 6.676], [-5.923, 3.315, -1.762]], "species": ["C", "Fe", "Fe", "Pa", "Fe", "C", "Fe", "Fe", "C", "Fe", "C", "C", "C", "Pa"], "fractional_positions": [[0.250, 0.301, 0.364], [0.250, 0.224, 0.001], [0.250, 0.777, 0.776], [0.250, 0.667, 0.333], [0.750, 0.776, 0.999], [0.250, 0.063, 0.699], [0.250, 0.999, 0.223], [0.750, 0.223, 0.224], [0.250, 0.636, 0.937], [0.750, 0.001, 0.777], [0.750, 0.364, 0.063], [0.750, 0.699, 0.636], [0.750, 0.937, 0.301], [0.750, 0.333, 0.667]]}

# 19
{"formula": "CsK2P", "functional": "PBE", "state": "relaxed", "dft_energy_ev_per_atom": -2.04, "cell": [[5.813, 0.000, 0.000], [0.000, 5.813, 0.000], [2.907, 2.907, 10.936]], "species": ["Cs", "P", "K", "K", "K", "K", "P", "Cs"], "fractional_positions": [[0.750, 0.250, 0.500], [0.250, 0.750, 0.500], [0.375, 0.464, 0.750], [0.214, 0.625, 0.250], [0.536, 0.125, 0.250], [0.875, 0.786, 0.750], [0.500, 0.500, 0.000], [0.000, 0.000, 0.000]]}

# 20
{"formula": "Ag2Os2Pd", "functional": "PBE", "state": "relaxed", "polymorph_energy_mev_per_atom": 0, "cell": [[-3.834, 5.192, 4.707], [-6.593, -0.854, -4.429], [-0.810, -2.050, 1.601]], "species": ["Os", "Ag", "Ag", "Os", "Ag", "Ag", "Os", "Os", "Pd", "Pd"], "fractional_positions": [[0.604, 0.104, 0.000], [0.691, 0.809, 0.500], [0.191, 0.691, 0.500], [0.896, 0.604, 0.000], [0.309, 0.191, 0.500], [0.809, 0.309, 0.500], [0.104, 0.396, 0.000], [0.396, 0.896, 0.000], [0.000, 0.000, 0.000], [0.500, 0.500, 0.000]]}

For reference, total moment by record: 0.0; 0.0; 0.0; 0.0; 0.0; 0.0; 0.0; 0.0; 4.0; 7.2; 0.0; 0.6; 0.0; 0.0; 1.0; 0.0; 0.0; 0.0; 0.0; 0.0 μB per formula unit.